No. 1
Computed, not measured: crystalline Li5TaPt6 at its relaxed geometry at the PBE-GGA level of DFT.

Output
- total DFT energy (no corrections) (eV per atom) = -5.443
- total magnetization (Bohr magnetons per cell) = 0.0

Lattice parameters (Å, degrees): 4.3474 5.9295 6.7889 90.00 71.33 90.00
Last column: nearest neighbours and their distance in Å.
Fractional positions:
Ta1 0.0000 0.0000 0.0000  8 Pt 2.63-2.65
Pt1 0.8325 0.7444 0.3351  7 Li 2.58-2.65, 1 Ta 2.63
Pt2 0.8325 0.2556 0.3351  7 Li 2.58-2.65, 1 Ta 2.63
Pt3 0.5000 0.2566 0.0000  6 Li 2.57-2.66, 2 Ta 2.65
Pt4 0.5000 0.7434 0.0000  6 Li 2.57-2.66, 2 Ta 2.65
Pt5 0.1675 0.7444 0.6649  7 Li 2.58-2.65, 1 Ta 2.63
Pt6 0.1675 0.2556 0.6649  7 Li 2.58-2.65, 1 Ta 2.63
Li1 0.6652 0.5000 0.6696  8 Pt 2.57-2.61
Li2 0.3301 0.0000 0.3398  8 Pt 2.58-2.66
Li3 0.0000 0.5000 0.0000  8 Pt 2.60-2.61
Li4 0.6699 0.0000 0.6602  8 Pt 2.58-2.66
Li5 0.3348 0.5000 0.3304  8 Pt 2.57-2.61

***

No. 2
Computed, not measured: crystalline LaTl2Ge at its relaxed geometry at the PBE-GGA level of DFT.

Output
- total DFT energy (no corrections) (eV per atom) = -3.931
- total magnetization (Bohr magnetons per cell) = 0.0
- excess energy over the best structure of this formula in the dataset (meV per atom) = 0.0

Lattice parameters (Å, degrees): 5.1367 4.5769 4.5769 90.00 90.00 90.00
Last column: nearest neighbours and their distance in Å.
Fractional positions:
Tl1 0.0000 0.0000 0.5000  4 Tl 3.24, 4 La 3.44, 4 Ge 3.44
Tl2 0.0000 0.5000 0.0000  4 Tl 3.24, 4 Ge 3.44, 4 La 3.44
Ge1 0.5000 0.0000 0.0000  4 La 3.24, 8 Tl 3.44
La1 0.5000 0.5000 0.5000  4 Ge 3.24, 8 Tl 3.44